(1)
{"formula": "Tb2TmNpS4", "functional": "PBE", "state": "relaxed", "lattice_angstrom": [[3.896, 0.000, 0.000], [0.000, 6.758, 0.123], [0.000, -2.354, 6.340]], "species": ["S", "Tb", "Np", "S", "S", "S", "Tm", "Tb"], "frac_coords": [[0.000, 0.255, 0.755], [0.000, 0.500, 0.500], [0.000, 0.000, 0.000], [0.500, 0.252, 0.247], [0.000, 0.745, 0.245], [0.500, 0.748, 0.753], [0.500, 0.500, 0.000], [0.500, 0.000, 0.500]], "volume_a3_per_atom": 21.005, "mass_density_g_cm3": 8.420, "spacegroup": "P2/m (10)", "magmom_total_mub_per_atom": 0.56, "total_energy_ev_per_atom": -7.23, "e_form_raw_ev_per_atom": -1.84}

---

(2)
{"formula": "TbNpU2S4", "functional": "PBE", "state": "relaxed", "lattice_angstrom": [[-1.717, 0.891, -3.332], [-5.789, 0.695, 3.170], [3.254, 6.058, -0.057]], "species": ["U", "Tb", "S", "Np", "S", "U", "S", "S"], "frac_coords": [[0.000, 0.500, 0.500], [0.500, 0.500, 0.000], [0.500, 0.752, 0.751], [0.000, 0.000, 0.000], [0.000, 0.248, 0.750], [0.500, 0.000, 0.500], [0.500, 0.248, 0.249], [0.000, 0.752, 0.250]], "volume_a3_per_atom": 20.794, "mass_density_g_cm3": 9.985, "spacegroup": "P2/m (10)", "magmom_total_mub_per_atom": 1.11, "total_energy_ev_per_atom": -8.61, "e_form_raw_ev_per_atom": -1.53}

---

(3)
{"formula": "TbNp2US4", "functional": "PBE", "state": "relaxed", "lattice_angstrom": [[3.882, 0.000, 0.000], [0.000, 6.810, 0.150], [0.000, -2.346, 6.279]], "species": ["Np", "S", "S", "Tb", "S", "S", "Np", "U"], "frac_coords": [[0.500, 0.000, 0.500], [0.000, 0.250, 0.748], [0.000, 0.750, 0.252], [0.000, 0.000, 0.000], [0.500, 0.748, 0.748], [0.500, 0.252, 0.252], [0.000, 0.500, 0.500], [0.500, 0.500, 0.000]], "volume_a3_per_atom": 20.921, "mass_density_g_cm3": 9.914, "spacegroup": "P2/m (10)", "magmom_total_mub_per_atom": 1.33, "total_energy_ev_per_atom": -8.82, "e_form_raw_ev_per_atom": -1.53}

---

(4)
{"formula": "Tb2YNpS4", "functional": "PBE", "state": "relaxed", "lattice_angstrom": [[-2.998, -2.445, -0.605], [4.348, -5.189, -0.578], [-1.856, 0.666, 6.501]], "species": ["Np", "S", "Y", "S", "Tb", "S", "S", "Tb"], "frac_coords": [[0.000, 0.000, 0.000], [0.000, 0.251, 0.751], [0.500, 0.500, 0.000], [0.500, 0.250, 0.249], [0.500, 0.000, 0.500], [0.500, 0.750, 0.751], [0.000, 0.749, 0.249], [0.000, 0.500, 0.500]], "volume_a3_per_atom": 21.319, "mass_density_g_cm3": 7.516, "spacegroup": "P2/m (10)", "magmom_total_mub_per_atom": 0.57, "total_energy_ev_per_atom": -7.50, "e_form_raw_ev_per_atom": -1.85}

---

(5)
{"formula": "TbZrNp2S4", "functional": "PBE", "state": "relaxed", "lattice_angstrom": [[-0.569, -2.206, -3.138], [6.616, -1.439, -0.188], [-3.136, -4.424, 3.679]], "species": ["Np", "S", "S", "S", "Np", "S", "Zr", "Tb"], "frac_coords": [[0.500, 0.000, 0.500], [0.500, 0.744, 0.753], [0.500, 0.256, 0.247], [0.000, 0.743, 0.244], [0.000, 0.500, 0.500], [0.000, 0.257, 0.756], [0.500, 0.500, 0.000], [0.000, 0.000, 0.000]], "volume_a3_per_atom": 20.235, "mass_density_g_cm3": 8.744, "spacegroup": "P2/m (10)", "magmom_total_mub_per_atom": 0.01, "total_energy_ev_per_atom": -8.49, "e_form_raw_ev_per_atom": -1.54}

---

(6)
{"formula": "Np3Tl3TcS8", "functional": "PBE", "state": "relaxed", "lattice_angstrom": [[-0.869, 4.526, -6.040], [-6.097, -2.901, 3.482], [4.079, 6.663, 4.406]], "species": ["S", "S", "S", "Tl", "Tl", "S", "Tc", "Np", "S", "Np", "Tl", "S", "Np", "S", "S"], "frac_coords": [[0.783, 0.030, 0.313], [0.734, 0.468, 0.702], [0.217, 0.970, 0.687], [0.000, 0.500, 0.000], [0.000, 0.000, 0.000], [0.217, 0.435, 0.687], [0.000, 0.000, 0.500], [0.500, 0.500, 0.500], [0.783, 0.565, 0.313], [0.500, 0.000, 0.500], [0.500, 0.500, 0.000], [0.266, 0.532, 0.298], [0.000, 0.500, 0.500], [0.247, 0.030, 0.313], [0.753, 0.970, 0.687]], "volume_a3_per_atom": 26.070, "mass_density_g_cm3": 7.128, "spacegroup": "R-3m (166)", "magmom_total_mub_per_atom": 0.60, "total_energy_ev_per_atom": -6.84, "e_form_raw_ev_per_atom": -0.89}

---

(7)
{"formula": "Np3TeS6", "functional": "PBE", "state": "relaxed", "lattice_angstrom": [[7.016, 0.000, 0.000], [0.000, 8.123, -0.026], [0.000, -1.838, 7.912]], "species": ["Np", "S", "S", "S", "Te", "S", "S", "Np", "S", "Np", "S", "S", "S", "Np", "Np", "S", "S", "Np", "S", "Te"], "frac_coords": [[0.977, 0.086, 0.288], [0.100, 0.763, 0.237], [0.747, 0.992, 0.008], [0.166, 0.702, 0.625], [0.964, 0.263, 0.737], [0.666, 0.298, 0.375], [0.600, 0.237, 0.763], [0.477, 0.288, 0.086], [0.247, 0.008, 0.992], [0.477, 0.914, 0.712], [0.761, 0.516, 0.073], [0.261, 0.484, 0.927], [0.166, 0.375, 0.298], [0.868, 0.594, 0.406], [0.977, 0.712, 0.914], [0.261, 0.073, 0.516], [0.761, 0.927, 0.484], [0.368, 0.406, 0.594], [0.666, 0.625, 0.702], [0.464, 0.737, 0.263]], "volume_a3_per_atom": 22.531, "mass_density_g_cm3": 7.598, "spacegroup": "Cmc2_1 (36)", "magmom_total_mub_per_atom": 0.97, "total_energy_ev_per_atom": -7.73, "e_form_raw_ev_per_atom": -1.05}

---

(8)
{"formula": "Np2TeS", "functional": "PBE", "state": "relaxed", "lattice_angstrom": [[-1.861, 1.354, -3.406], [-4.090, -0.233, -0.339], [-2.571, 6.620, 1.557]], "species": ["Te", "S", "Np", "Np"], "frac_coords": [[0.500, 0.500, 0.500], [0.000, 0.000, 0.000], [0.736, 0.736, 0.791], [0.264, 0.264, 0.209]], "volume_a3_per_atom": 25.139, "mass_density_g_cm3": 10.464, "spacegroup": "R-3m (166)", "magmom_total_mub_per_atom": 2.16, "total_energy_ev_per_atom": -9.23, "e_form_raw_ev_per_atom": -0.94}

---

(9)
{"formula": "Np4TeS6", "functional": "PBE", "state": "relaxed", "lattice_angstrom": [[-1.378, -2.453, 3.520], [4.256, -1.248, 0.796], [0.116, 12.094, 5.589]], "species": ["Te", "Np", "Np", "Np", "Np", "S", "S", "S", "S", "S", "S"], "frac_coords": [[0.000, 0.000, 0.000], [0.811, 0.811, 0.622], [0.189, 0.189, 0.378], [0.433, 0.433, 0.866], [0.567, 0.567, 0.134], [0.624, 0.124, 0.247], [0.124, 0.624, 0.247], [0.876, 0.376, 0.753], [0.376, 0.876, 0.753], [0.750, 0.250, 0.500], [0.250, 0.750, 0.500]], "volume_a3_per_atom": 23.881, "mass_density_g_cm3": 8.015, "spacegroup": "I4/mmm (139)", "magmom_total_mub_per_atom": 0.09, "total_energy_ev_per_atom": -8.37, "e_form_raw_ev_per_atom": -1.12}

---

(10)
{"formula": "Np3TeS3", "functional": "PBE", "state": "relaxed", "lattice_angstrom": [[7.863, 0.000, 0.000], [3.932, 6.810, 0.000], [3.932, 2.270, 7.249]], "species": ["Np", "Te", "Te", "Np", "S", "S", "Np", "S", "S", "S", "Np", "S", "Np", "Np"], "frac_coords": [[0.486, 0.083, 0.711], [0.335, 0.335, 0.994], [0.665, 0.665, 0.006], [0.083, 0.720, 0.711], [0.127, 0.379, 0.661], [0.167, 0.873, 0.339], [0.720, 0.486, 0.711], [0.621, 0.167, 0.339], [0.379, 0.833, 0.661], [0.873, 0.621, 0.339], [0.280, 0.514, 0.289], [0.833, 0.127, 0.661], [0.514, 0.917, 0.289], [0.917, 0.280, 0.289]], "volume_a3_per_atom": 27.724, "mass_density_g_cm3": 7.999, "spacegroup": "R-3 (148)", "magmom_total_mub_per_atom": 1.86, "total_energy_ev_per_atom": -8.85, "e_form_raw_ev_per_atom": -1.09}

---

(11)
{"formula": "Np2TeS6", "functional": "PBE", "state": "relaxed", "lattice_angstrom": [[6.249, 0.000, 0.000], [0.000, 6.249, 0.000], [0.000, 0.000, 12.145]], "species": ["S", "Np", "S", "Te", "S", "S", "Np", "S", "Np", "Te", "S", "S", "S", "S", "S", "S", "Np", "S"], "frac_coords": [[0.805, 0.195, 0.667], [0.500, 0.500, 0.667], [0.690, 0.690, 0.500], [0.000, 0.000, 0.500], [0.695, 0.695, 0.167], [0.310, 0.310, 0.500], [0.000, 0.000, 0.167], [0.190, 0.810, 0.000], [0.500, 0.500, 0.333], [0.500, 0.500, 0.000], [0.305, 0.305, 0.833], [0.195, 0.805, 0.667], [0.305, 0.305, 0.167], [0.195, 0.805, 0.333], [0.805, 0.195, 0.333], [0.695, 0.695, 0.833], [0.000, 0.000, 0.833], [0.810, 0.190, 0.000]], "volume_a3_per_atom": 26.346, "mass_density_g_cm3": 5.560, "spacegroup": "P4_2/mnm (136)", "magmom_total_mub_per_atom": 0.67, "total_energy_ev_per_atom": -6.69, "e_form_raw_ev_per_atom": -0.71}

---

(12)
{"formula": "Np2TeS5", "functional": "PBE", "state": "relaxed", "lattice_angstrom": [[-2.447, -1.400, -3.958], [4.392, -5.385, 2.173], [-9.779, -4.845, 7.760]], "species": ["S", "Np", "S", "S", "S", "S", "Te", "Np", "S", "Te", "S", "S", "S", "Np", "Np", "S"], "frac_coords": [[0.815, 0.629, 0.250], [0.864, 0.727, 0.050], [0.673, 0.345, 0.483], [0.185, 0.371, 0.750], [0.327, 0.655, 0.983], [0.327, 0.655, 0.517], [0.396, 0.792, 0.250], [0.864, 0.727, 0.450], [0.961, 0.923, 0.885], [0.604, 0.208, 0.750], [0.039, 0.077, 0.385], [0.961, 0.923, 0.615], [0.039, 0.077, 0.115], [0.136, 0.273, 0.950], [0.136, 0.273, 0.550], [0.673, 0.345, 0.017]], "volume_a3_per_atom": 27.912, "mass_density_g_cm3": 5.666, "spacegroup": "Cmcm (63)", "magmom_total_mub_per_atom": 0.58, "total_energy_ev_per_atom": -6.98, "e_form_raw_ev_per_atom": -0.77}

---

(13)
{"formula": "Np3TeS4", "functional": "PBE", "state": "relaxed", "lattice_angstrom": [[-2.053, -0.355, 3.970], [3.253, -2.729, 1.438], [5.002, 7.686, 3.275]], "species": ["S", "Te", "S", "Np", "S", "Np", "S", "Np"], "frac_coords": [[0.500, 0.000, 0.830], [0.000, 0.000, 0.500], [0.500, 0.000, 0.170], [0.500, 0.500, 0.676], [0.000, 0.500, 0.830], [0.000, 0.000, 0.000], [0.000, 0.500, 0.170], [0.500, 0.500, 0.324]], "volume_a3_per_atom": 24.462, "mass_density_g_cm3": 8.204, "spacegroup": "P4/mmm (123)", "magmom_total_mub_per_atom": 0.55, "total_energy_ev_per_atom": -8.36, "e_form_raw_ev_per_atom": -1.05}

---

(14)
{"formula": "ThNp2Te2S2", "functional": "PBE", "state": "relaxed", "lattice_angstrom": [[5.347, 0.000, 0.000], [0.000, 5.347, 0.000], [-2.674, -2.674, 7.637]], "species": ["Th", "Te", "Np", "S", "S", "Np", "Te"], "frac_coords": [[0.000, 0.000, 0.000], [0.197, 0.197, 0.394], [0.600, 0.600, 0.200], [0.500, 0.000, 0.000], [0.000, 0.500, 0.000], [0.400, 0.400, 0.800], [0.803, 0.803, 0.606]], "volume_a3_per_atom": 31.192, "mass_density_g_cm3": 7.798, "spacegroup": "I4/mmm (139)", "magmom_total_mub_per_atom": 1.36, "total_energy_ev_per_atom": -7.68, "e_form_raw_ev_per_atom": -0.84}

---

(15)
{"formula": "NpTl2TeS4", "functional": "PBE", "state": "relaxed", "lattice_angstrom": [[6.762, 0.323, 0.494], [-2.589, 6.255, -0.494], [-2.589, -2.970, 5.527]], "species": ["Tl", "Tl", "S", "S", "S", "Te", "S", "Np"], "frac_coords": [[0.500, 0.750, 0.250], [0.000, 0.000, 0.000], [0.116, 0.269, 0.734], [0.465, 0.847, 0.731], [0.535, 0.266, 0.382], [0.000, 0.500, 0.500], [0.884, 0.618, 0.153], [0.500, 0.250, 0.750]], "volume_a3_per_atom": 30.085, "mass_density_g_cm3": 6.221, "spacegroup": "I-4 (82)", "magmom_total_mub_per_atom": 0.38, "total_energy_ev_per_atom": -5.05, "e_form_raw_ev_per_atom": -0.38}

---

(16)
{"formula": "Np3Tl3TeS8", "functional": "PBE", "state": "relaxed", "lattice_angstrom": [[8.084, 0.000, 0.000], [-4.042, 7.001, -0.031], [0.000, -4.638, 7.573]], "species": ["Tl", "S", "S", "S", "Tl", "S", "Np", "S", "S", "Np", "S", "Np", "Tl", "S", "Te"], "frac_coords": [[0.000, 0.500, 0.000], [0.731, 0.462, 0.692], [0.266, 0.037, 0.308], [0.269, 0.538, 0.308], [0.000, 0.000, 0.000], [0.771, 0.037, 0.308], [0.000, 0.500, 0.500], [0.734, 0.963, 0.692], [0.229, 0.963, 0.692], [0.500, 0.000, 0.500], [0.771, 0.542, 0.308], [0.500, 0.500, 0.500], [0.500, 0.500, 0.000], [0.229, 0.458, 0.692], [0.000, 0.000, 0.500]], "volume_a3_per_atom": 28.496, "mass_density_g_cm3": 6.636, "spacegroup": "R-3m (166)", "magmom_total_mub_per_atom": 0.80, "total_energy_ev_per_atom": -6.27, "e_form_raw_ev_per_atom": -0.79}

---

(17)
{"formula": "TmNp2Te2S2", "functional": "PBE", "state": "relaxed", "lattice_angstrom": [[5.012, 0.000, 0.000], [0.000, 5.012, 0.000], [-2.506, -2.506, 7.867]], "species": ["Te", "S", "Tm", "Np", "S", "Np", "Te"], "frac_coords": [[0.813, 0.813, 0.626], [0.000, 0.500, 0.000], [0.000, 0.000, 0.000], [0.613, 0.613, 0.227], [0.500, 0.000, 0.000], [0.387, 0.387, 0.773], [0.187, 0.187, 0.374]], "volume_a3_per_atom": 28.231, "mass_density_g_cm3": 8.086, "spacegroup": "I4/mmm (139)", "magmom_total_mub_per_atom": 1.28, "total_energy_ev_per_atom": -7.42, "e_form_raw_ev_per_atom": -1.01}

---

(18)
{"formula": "Np2U2Te2S5", "functional": "PBE", "state": "relaxed", "lattice_angstrom": [[5.105, 0.000, 0.000], [0.000, 5.105, 0.000], [-2.552, -2.552, 13.132]], "species": ["S", "Np", "S", "Te", "Te", "S", "U", "U", "S", "Np", "S"], "frac_coords": [[0.116, 0.616, 0.232], [0.333, 0.333, 0.665], [0.616, 0.116, 0.232], [0.215, 0.215, 0.429], [0.785, 0.785, 0.571], [0.000, 0.000, 0.000], [0.098, 0.098, 0.196], [0.902, 0.902, 0.804], [0.884, 0.384, 0.768], [0.667, 0.667, 0.335], [0.384, 0.884, 0.768]], "volume_a3_per_atom": 31.112, "mass_density_g_cm3": 6.626, "spacegroup": "I4/mmm (139)", "magmom_total_mub_per_atom": 1.09, "total_energy_ev_per_atom": -7.89, "e_form_raw_ev_per_atom": -1.03}

---

(19)
{"formula": "NpUTe2S", "functional": "PBE", "state": "relaxed", "lattice_angstrom": [[4.323, 0.000, 0.000], [0.000, 4.323, 0.000], [0.000, 0.000, 14.876]], "species": ["Np", "Te", "Te", "Np", "S", "Te", "U", "Te", "U", "S"], "frac_coords": [[0.500, 0.000, 0.091], [0.500, 0.000, 0.303], [0.000, 0.500, 0.123], [0.000, 0.500, 0.909], [0.000, 0.000, 0.500], [0.500, 0.000, 0.877], [0.000, 0.500, 0.390], [0.000, 0.500, 0.697], [0.500, 0.000, 0.610], [0.500, 0.500, 0.500]], "volume_a3_per_atom": 27.799, "mass_density_g_cm3": 9.107, "spacegroup": "P4/nmm (129)", "magmom_total_mub_per_atom": 0.90, "total_energy_ev_per_atom": -7.66, "e_form_raw_ev_per_atom": -0.73}

---

(20)
{"formula": "ZrNpTeS2", "functional": "PBE", "state": "relaxed", "lattice_angstrom": [[-2.722, -2.063, 1.921], [-0.474, -5.470, -6.546], [5.486, -2.333, 5.267]], "species": ["Te", "S", "S", "S", "Zr", "S", "Zr", "Te", "Np", "Np"], "frac_coords": [[0.750, 0.342, 0.057], [0.750, 0.350, 0.549], [0.250, 0.650, 0.451], [0.750, 0.974, 0.679], [0.250, 0.326, 0.319], [0.250, 0.026, 0.321], [0.750, 0.674, 0.681], [0.250, 0.658, 0.943], [0.250, 0.209, 0.700], [0.750, 0.791, 0.300]], "volume_a3_per_atom": 24.868, "mass_density_g_cm3": 6.944, "spacegroup": "P2_1/m (11)", "magmom_total_mub_per_atom": 0.87, "total_energy_ev_per_atom": -7.78, "e_form_raw_ev_per_atom": -1.20}

---

(21)
{"formula": "ThNp2S6", "functional": "PBE", "state": "relaxed", "lattice_angstrom": [[-3.793, -3.267, 0.346], [-0.010, -4.442, -5.680], [2.814, -6.864, 2.424]], "species": ["Np", "S", "S", "Th", "S", "S", "S", "S", "Np"], "frac_coords": [[0.180, 0.744, 0.895], [0.963, 0.855, 0.218], [0.631, 0.294, 0.444], [0.000, 0.500, 0.500], [0.037, 0.145, 0.782], [0.246, 0.373, 0.135], [0.369, 0.706, 0.556], [0.754, 0.627, 0.865], [0.820, 0.256, 0.105]], "volume_a3_per_atom": 27.244, "mass_density_g_cm3": 6.084, "spacegroup": "C2/m (12)", "magmom_total_mub_per_atom": 0.67, "total_energy_ev_per_atom": -7.87, "e_form_raw_ev_per_atom": -1.42}

---

(22)
{"formula": "ThNp4S5", "functional": "PBE", "state": "relaxed", "lattice_angstrom": [[3.827, 0.000, 0.874], [1.609, 6.394, 1.772], [0.007, 0.041, 8.782]], "species": ["S", "Np", "Th", "Np", "S", "Np", "Np", "S", "S", "S"], "frac_coords": [[0.201, 0.905, 0.693], [0.599, 0.203, 0.599], [0.000, 0.000, 0.000], [0.202, 0.394, 0.202], [0.000, 0.500, 0.500], [0.401, 0.797, 0.401], [0.798, 0.606, 0.798], [0.393, 0.316, 0.898], [0.799, 0.095, 0.307], [0.607, 0.684, 0.102]], "volume_a3_per_atom": 21.462, "mass_density_g_cm3": 10.370, "spacegroup": "C2/m (12)", "magmom_total_mub_per_atom": 0.01, "total_energy_ev_per_atom": -9.45, "e_form_raw_ev_per_atom": -1.47}